Entry 1:
Compound: NaPm2Rh
Source: Alexandria
Functional: PBE-GGA
Structure: optimized geometry

Its energy above the most stable polymorph in this dataset is 42 meV per atom. As for the energy relative to the elements: -0.291 eV/atom. As for the crystal system: tetragonal. The calculation puts the total magnetization at 0.0 μB per cell.

It has space group P4/mmm (No. 123), with a = 3.541 Å, b = 3.541 Å, c = 9.448 Å, α = 90.00°, β = 90.00° and γ = 90.00°. Symmetry generates all atoms from Na at (0.000, 0.000, 0.000), Pm at (0.500, 0.500, 0.324) and Rh at (0.000, 0.000, 0.500).

***

Entry 2:
Compound: NaPm2Rh
Source: Alexandria
Functional: PBE-GGA
Structure: optimized geometry

Its energy above the most stable polymorph in this dataset is 5 meV per atom. As for the energy relative to the elements: -0.328 eV/atom. As for the crystal system: trigonal. The calculation puts the total magnetization at 0.0 μB per cell.

It has space group R-3m (No. 166, hexagonal axes), with a = 4.0964 Å, b = 4.0964 Å, c = 27.7880 Å, α = 90.00°, β = 90.00° and γ = 120.00°. Symmetry generates all atoms from Na at (0.0000, 0.0000, 0.0000), Pm at (0.0000, 0.0000, 0.2210) and Rh at (0.0000, 0.0000, 0.5000).

***

Entry 3:
Compound: NaPmRh
Source: Alexandria
Functional: PBE-GGA
Structure: optimized geometry

As for the energy relative to the elements: -0.162 eV/atom. As for the crystal system: trigonal. The calculation puts the total magnetization at 0.0 μB per cell.

It has space group R-3m (No. 166, hexagonal axes), with a = 4.7580 Å, b = 4.7580 Å, c = 24.8744 Å, α = 90.00°, β = 90.00° and γ = 120.00°. Symmetry generates all atoms from Na at (0.0000, 0.0000, 0.1359), Pm at (0.0000, 0.0000, 0.3798) and Rh at (0.0000, 0.0000, 0.2625).

***

Entry 4:
Compound: NaPmSnRh
Source: Alexandria
Functional: PBE-GGA
Structure: optimized geometry

As for the energy relative to the elements: -0.429 eV/atom. As for the crystal system: cubic. The calculation puts the total magnetization at 0.0 μB per cell.

It has space group F-43m (No. 216), with a = 6.977 Å, b = 6.977 Å, c = 6.977 Å, α = 90.00°, β = 90.00° and γ = 90.00°. Symmetry generates all atoms from Na at (0.000, 0.000, 0.000), Pm at (0.250, 0.250, 0.250), Sn at (0.250, 0.250, 0.750) and Rh at (0.000, 0.000, 0.500).